A | Crystalline NiSnSe2 at its relaxed geometry. Source: Alexandria via LeMat-Bulk, functional GGA-PBE.

- crystal system = trigonal
- DOS(E_F) (states/eV/cell) = 11.349

Cell and atoms, written as extended XYZ:
```
4
Lattice="-3.104 -3.203 6.495 0.548 -1.678 7.678 -2.724 0.821 7.347" Properties=species:S:1:pos:R:3 pbc="T T T"
Se -4.762 -3.661 19.405
Se -0.519 -0.399 2.114
Ni 0.000 0.000 0.000
Sn -2.640 -2.030 10.760
```

---

B | Crystalline NiSnSe2 at its relaxed geometry. Source: Alexandria via LeMat-Bulk, functional GGA-PBE.

- crystal system = tetragonal
- DOS(E_F) (states/eV/cell) = 4.730

Cell and atoms, written as extended XYZ:
```
8
Lattice="-5.485 -1.675 -1.351 1.193 -5.445 1.909 -3.916 -2.074 5.623" Properties=species:S:1:pos:R:3 pbc="T T T"
Ni -2.146 -3.560 0.279
Ni -2.435 -5.540 3.905
Se -1.271 -4.239 2.343
Se -6.770 -7.437 4.583
Se -3.906 -2.139 0.887
Se -4.470 -4.575 4.549
Sn 0.000 0.000 0.000
Sn -5.774 -3.655 2.275
```

---

C | Crystalline NiSnSe2 at its relaxed geometry. Source: Alexandria via LeMat-Bulk, functional GGA-PBE.

- crystal system = cubic
- DOS(E_F) (states/eV/cell) = 4.923

Cell and atoms, written as extended XYZ:
```
4
Lattice="0.000 3.428 3.428 3.428 0.000 3.428 3.428 3.428 0.000" Properties=species:S:1:pos:R:3 pbc="T T T"
Ni 0.000 0.000 0.000
Sn 3.428 3.428 3.428
Se 5.143 5.143 5.143
Se 1.714 1.714 1.714
```

---

D | Crystalline NiSnSe2 at its relaxed geometry. Source: Alexandria via LeMat-Bulk, functional GGA-PBE.

- crystal system = trigonal
- DOS(E_F) (states/eV/cell) = 2.432

Cell and atoms, written as extended XYZ:
```
4
Lattice="-0.568 -2.212 -2.893 2.866 -1.528 -1.742 0.431 -6.757 2.735" Properties=species:S:1:pos:R:3 pbc="T T T"
Sn 1.366 -5.230 -0.965
Se 0.705 -2.249 -0.766
Se 0.491 -5.766 1.965
Ni 1.532 -2.501 -3.084
```

---

Which structure loses on stability? C does.

---

A | Crystalline SrNiSe3 at its relaxed geometry. Source: Alexandria via LeMat-Bulk, functional GGA-PBE.

- crystal system = cubic
- DOS(E_F) (states/eV/cell) = 4.707

Cell and atoms, written as extended XYZ:
```
5
Lattice="-1.838 2.612 3.647 1.939 -3.092 3.192 4.046 2.669 0.127" Properties=species:S:1:pos:R:3 pbc="T T T"
Sr 2.073 1.095 3.483
Se 2.023 1.334 0.064
Se -0.919 1.306 1.824
Se 0.970 -1.546 1.596
Ni 0.000 0.000 0.000
```

---

B | Crystalline SrNiSe3 at its relaxed geometry. Source: Alexandria via LeMat-Bulk, functional GGA-PBE.

- crystal system = cubic
- DOS(E_F) (states/eV/cell) = 22.018

Cell and atoms, written as extended XYZ:
```
5
Lattice="-3.900 -1.383 -3.963 0.131 -5.447 1.772 -4.196 1.115 3.739" Properties=species:S:1:pos:R:3 pbc="T T T"
Se 0.066 -2.724 0.886
Se -2.098 0.558 1.870
Se -1.950 -0.692 -1.982
Ni -3.982 -2.858 0.774
Sr 0.000 0.000 0.000
```

---

Which structure loses on stability? B does.

---

A | Crystalline TaNiSe at its relaxed geometry. Source: Alexandria via LeMat-Bulk, functional GGA-PBE.

- crystal system = cubic
- DOS(E_F) (states/eV/cell) = 1.920

Cell and atoms, written as extended XYZ:
```
3
Lattice="-2.278 -3.265 -1.132 0.554 -3.655 1.861 -2.901 -1.484 2.552" Properties=species:S:1:pos:R:3 pbc="T T T"
Ta 0.000 0.000 0.000
Se -3.469 -6.304 2.462
Ni -2.313 -4.202 1.641
```

---

B | Crystalline TaNiSe at its relaxed geometry. Source: Alexandria via LeMat-Bulk, functional GGA-PBE.

- crystal system = cubic
- DOS(E_F) (states/eV/cell) = 2.015

Cell and atoms, written as extended XYZ:
```
3
Lattice="4.251 0.000 0.000 2.126 3.682 0.000 2.126 1.227 3.471" Properties=species:S:1:pos:R:3 pbc="T T T"
Ta 6.377 3.682 2.603
Se 4.251 2.454 1.736
Ni 0.000 0.000 0.000
```

---

C | Crystalline TaNiSe at its relaxed geometry. Source: Alexandria via LeMat-Bulk, functional GGA-PBE.

- crystal system = hexagonal
- DOS(E_F) (states/eV/cell) = 2.676

Cell and atoms, written as extended XYZ:
```
3
Lattice="4.093 0.000 0.000 -2.047 3.545 0.000 0.000 0.000 3.109" Properties=species:S:1:pos:R:3 pbc="T T T"
Se 2.047 1.182 0.520
Ni 0.000 0.000 0.517
Ta 0.000 2.363 2.072
```

---

D | Crystalline TaNiSe at its relaxed geometry. Source: Alexandria via LeMat-Bulk, functional GGA-PBE.

- crystal system = trigonal
- DOS(E_F) (states/eV/cell) = 3.036

Cell and atoms, written as extended XYZ:
```
3
Lattice="-0.246 1.788 2.731 2.030 -2.566 -0.099 4.240 3.426 -1.861" Properties=species:S:1:pos:R:3 pbc="T T T"
Ta 4.129 1.195 -0.410
Ni 4.098 3.312 -1.799
Se 2.036 1.568 1.119
```

---

Which structure loses on stability? A does.